1.
Compound: Ce3Pr2YAs6
Source: the Alexandria database
Functional: PBE-GGA
Structure: optimized geometry

a b c (Å): 7.333 12.700 7.328
angles (deg): 90.00 109.51 90.00
Space group C2/m (No. 12)
One atom of each set of equivalent atoms:
1 Ce 0.000 0.000 0.000 [2 per cell]
2 Ce 0.000 0.332 0.000 [4 per cell]
3 Pr 0.000 0.166 0.500 [4 per cell]
4 Y 0.000 0.500 0.500 [2 per cell]
5 As 0.242 0.500 0.245 [4 per cell]
6 As 0.248 0.336 0.754 [8 per cell]

crystal system: monoclinic
DFT formation energy: -1.4728 eV/atom

2.
Compound: Tb5Bi2Sb2
Source: the Alexandria database
Functional: PBE-GGA
Structure: optimized geometry

a b c (Å): 15.613 8.207 8.268
angles (deg): 90.00 90.00 90.00
Space group Cmce (No. 64)
One atom of each set of equivalent atoms:
1 Tb 0.000 0.000 0.000 [4 per cell]
2 Tb 0.133 0.159 0.341 [16 per cell]
3 Bi 0.202 0.000 0.000 [8 per cell]
4 Sb 0.000 0.143 0.642 [8 per cell]

raw formation energy: -0.9106 eV/atom
distance to the lowest polymorph of the same formula: 0 meV/atom
crystal system: orthorhombic